# 1
# Ge2Bi2Sb, optimized geometry, DFT PBE
# spin magnetization = 0.000 μB per formula unit
# SG = P4/mbm (127)
# distance to the lowest polymorph of the same formula = 69 meV/atom
# raw formation energy = 0.29 eV per atom
data_Ge2Bi2Sb
_chemical_formula_sum 'Ge4 Bi4 Sb2'
_symmetry_space_group_name_H-M 'P 1'
_symmetry_Int_Tables_number 1
_symmetry_space_group_name_Hall 'P 1'
_cell_length_a 8.1077
_cell_length_b 8.1077
_cell_length_c 4.0033
_cell_angle_alpha 90.00
_cell_angle_beta 90.00
_cell_angle_gamma 90.00
loop_
_atom_site_label
_atom_site_fract_x
_atom_site_fract_y
_atom_site_fract_z
Ge1 0.1220 0.3780 0.0000
Ge2 0.3780 0.8780 0.0000
Ge3 0.6220 0.1220 0.0000
Ge4 0.8780 0.6220 0.0000
Bi1 0.1783 0.6783 0.5000
Bi2 0.3217 0.1783 0.5000
Bi3 0.6783 0.8217 0.5000
Bi4 0.8217 0.3217 0.5000
Sb1 0.0000 0.0000 0.0000
Sb2 0.5000 0.5000 0.0000


# 2
# SrCuGeAu3, optimized geometry, DFT PBE
# spin magnetization = 0.000 μB per formula unit
# E_form = -27.0 kJ per mole of atoms
# SG = Cmcm (63)
data_SrCuGeAu3
_chemical_formula_sum 'Sr2 Cu2 Ge2 Au6'
_symmetry_space_group_name_H-M 'P 1'
_symmetry_Int_Tables_number 1
_symmetry_space_group_name_Hall 'P 1'
_cell_length_a 6.9185
_cell_length_b 6.9185
_cell_length_c 6.5444
_cell_angle_alpha 90.00
_cell_angle_beta 90.00
_cell_angle_gamma 121.63
loop_
_atom_site_label
_atom_site_fract_x
_atom_site_fract_y
_atom_site_fract_z
Sr1 0.2143 0.7857 0.7500
Sr2 0.7857 0.2143 0.2500
Cu1 0.4626 0.5374 0.7500
Cu2 0.5374 0.4626 0.2500
Ge1 0.1179 0.8821 0.2500
Ge2 0.8821 0.1179 0.7500
Au1 0.2197 0.2197 0.0000
Au2 0.2197 0.2197 0.5000
Au3 0.3246 0.6754 0.2500
Au4 0.6754 0.3246 0.7500
Au5 0.7803 0.7803 0.0000
Au6 0.7803 0.7803 0.5000


# 3
# Tl3Ag2Br7, optimized geometry, DFT PBE
# spin magnetization = 0.000 μB per formula unit
# SG = I4/mmm (139)
# raw formation energy = -0.53 eV per atom
data_Tl3Ag2Br7
_chemical_formula_sum 'Tl3 Ag2 Br7'
_symmetry_space_group_name_H-M 'P 1'
_symmetry_Int_Tables_number 1
_symmetry_space_group_name_Hall 'P 1'
_cell_length_a 13.8896
_cell_length_b 13.8896
_cell_length_c 13.8896
_cell_angle_alpha 157.45
_cell_angle_beta 157.45
_cell_angle_gamma 32.10
loop_
_atom_site_label
_atom_site_fract_x
_atom_site_fract_y
_atom_site_fract_z
Tl1 0.0000 0.0000 0.0000
Tl2 0.1791 0.1791 0.0000
Tl3 0.8209 0.8209 0.0000
Ag1 0.3994 0.3994 0.0000
Ag2 0.6006 0.6006 0.0000
Br1 0.0954 0.5954 0.5000
Br2 0.2993 0.2993 0.0000
Br3 0.4046 0.9046 0.5000
Br4 0.5000 0.5000 0.0000
Br5 0.5954 0.0954 0.5000
Br6 0.7007 0.7007 0.0000
Br7 0.9046 0.4046 0.5000


# 4
# Ca2Mg, optimized geometry, DFT PBE
# spin magnetization = 0.000 μB per formula unit
# E_form = 3.5 kJ per mole of atoms
# SG = R32 (155)
data_Ca2Mg
_chemical_formula_sum 'Ca4 Mg2'
_symmetry_space_group_name_H-M 'P 1'
_symmetry_Int_Tables_number 1
_symmetry_space_group_name_Hall 'P 1'
_cell_length_a 7.0047
_cell_length_b 7.0047
_cell_length_c 7.0047
_cell_angle_alpha 54.54
_cell_angle_beta 54.54
_cell_angle_gamma 54.54
loop_
_atom_site_label
_atom_site_fract_x
_atom_site_fract_y
_atom_site_fract_z
Ca1 0.0000 0.0000 0.0000
Ca2 0.1730 0.8270 0.5000
Ca3 0.5000 0.1730 0.8270
Ca4 0.8270 0.5000 0.1730
Mg1 0.3337 0.3337 0.3337
Mg2 0.6663 0.6663 0.6663


spin magnetization of number 1 (Ge2Bi2Sb)? 0.000 μB per formula unit